Entry one
Entry from the Alexandria database: AcYPb after structural relaxation (PBE).

Values from the calculation:
Symmetry: No. 107
M_tot, μB/f.u.: 0.1

Cell lengths 4.2272, 4.2272, 6.4332 Å; angles 109.18, 109.18, 90.00 degrees
Element x y z (fractional)
Ac 0.2775 0.2775 0.5550
Y 0.9761 0.9761 0.9521
Pb 0.5965 0.5965 0.1929


Entry two
Entry from the Alexandria database: AcYPb after structural relaxation (PBE).

Values from the calculation:
Symmetry: No. 129
M_tot, μB/f.u.: 0.0

Cell lengths 4.8075, 4.8091, 8.9975 Å; angles 90.00, 90.01, 90.00 degrees
Element x y z (fractional)
Ac 0.2500 0.7500 0.9997
Y 0.7498 0.7500 0.6467
Ac 0.7500 0.2500 0.0003
Pb 0.2498 0.2500 0.7013
Pb 0.7502 0.7500 0.2987
Y 0.2502 0.2500 0.3533


Most stable: entry two


Entry one
Entry from the Alexandria database: Ac2YPb after structural relaxation (PBE).

Values from the calculation:
Symmetry: No. 123
M_tot, μB/f.u.: 0.0

Cell lengths 4.5044, 4.5044, 7.3120 Å; angles 90.00, 90.00, 90.00 degrees
Element x y z (fractional)
Y 0.5000 0.5000 0.5000
Pb 0.5000 0.5000 0.0000
Ac 0.0000 0.0000 0.7662
Ac 0.0000 0.0000 0.2338


Entry two
Entry from the Alexandria database: Ac2YPb after structural relaxation (PBE).

Values from the calculation:
Symmetry: No. 225
M_tot, μB/f.u.: 0.0

Cell lengths 5.9320, 5.9320, 5.9320 Å; angles 60.00, 60.00, 60.00 degrees
Element x y z (fractional)
Y 0.5000 0.5000 0.5000
Pb 0.0000 0.0000 0.0000
Ac 0.2500 0.2500 0.2500
Ac 0.7500 0.7500 0.7500


Most stable: entry one